Entry 1:
VASP calculation (GGA-PBE) on a relaxed structure of KMgAu3.

Results
The calculation puts the formation energy at -0.107 eV/atom. For the excess energy over the best structure of this formula in the dataset, the calculation gives 0 meV per atom. As for the space-group type: Pm-3m (221). As for the electronic total energy: -0.192 Ry per atom.

POSCAR file:
```
KMgAu3
1.0
5.191 0.000 0.000
0.000 5.191 0.000
0.000 0.000 5.191
K Mg Au
1 1 3
direct
0.500 0.500 0.500
0.000 0.000 0.000
0.000 0.500 0.000
0.000 0.000 0.500
0.500 0.000 0.000
```

Entry 2:
VASP calculation (GGA-PBE) on a relaxed structure of TcCl3.

Results
For the excess energy over the best structure of this formula in the dataset, the calculation gives 1396 meV per atom. As for the space-group type: P4/mmm (123). As for the electronic total energy: -0.242 Ry per atom. For the uncorrected formation energy, the calculation gives 683.5 meV/atom.

POSCAR file:
```
TcCl3
1.0
4.636 0.017 0.000
-0.016 4.638 0.000
0.000 0.000 3.991
Cl Tc
3 1
direct
0.000 0.500 0.500
0.500 0.000 0.500
0.500 0.500 0.000
0.000 0.000 0.000
```

Entry 3:
VASP calculation (GGA-PBE) on a relaxed structure of Nb6VSn2.

Results
The calculation puts the formation energy at 0.453 eV/atom. As for the space-group type: C2/m (12). As for the electronic total energy: -0.600 Ry per atom.

POSCAR file:
```
Nb6VSn2
1.0
-2.965 -2.923 2.365
2.152 -4.745 -3.167
5.062 2.824 5.077
Sn Nb V
2 6 1
direct
0.311 0.308 0.617
0.689 0.692 0.383
0.500 0.251 0.000
0.500 0.749 0.000
0.128 0.398 0.260
0.128 0.862 0.260
0.872 0.602 0.740
0.872 0.138 0.740
0.000 0.000 0.000
```

Entry 4:
VASP calculation (GGA-PBE) on a relaxed structure of Ca2UAgS5.

Results
As for the space-group type: Cmc2_1 (36). As for the electronic total energy: -0.420 Ry per atom. For the uncorrected formation energy, the calculation gives -1411.0 meV/atom.

POSCAR file:
```
Ca2UAgS5
1.0
4.012 0.000 0.000
-2.006 8.453 0.000
0.000 0.000 12.773
S Ca U Ag
10 4 2 2
direct
0.085 0.170 0.066
0.730 0.459 0.893
0.751 0.503 0.163
0.249 0.497 0.663
0.503 0.006 0.770
0.386 0.771 0.996
0.614 0.229 0.496
0.497 0.994 0.270
0.270 0.541 0.393
0.915 0.830 0.566
0.927 0.853 0.149
0.106 0.213 0.322
0.073 0.147 0.649
0.894 0.787 0.822
0.767 0.534 0.529
0.233 0.466 0.029
0.420 0.841 0.438
0.580 0.159 0.938
```

Entry 5:
VASP calculation (GGA-PBE) on a relaxed structure of TaCF3.

Results
For the excess energy over the best structure of this formula in the dataset, the calculation gives 1361 meV per atom. As for the space-group type: Pm-3m (221). As for the electronic total energy: -0.334 Ry per atom. For the uncorrected formation energy, the calculation gives 791.8 meV/atom.

POSCAR file:
```
TaCF3
1.0
-2.160 2.821 -1.765
-2.547 -2.755 -1.286
-2.140 0.433 3.312
F C Ta
3 1 1
direct
0.000 0.500 0.000
0.500 0.000 0.000
0.000 0.000 0.500
0.000 0.000 0.000
0.500 0.500 0.500
```

Entry 6:
VASP calculation (GGA-PBE) on a relaxed structure of Fe4AgPb.

Results
The calculation puts the formation energy at 0.361 eV/atom. As for the space-group type: F-43m (216). As for the electronic total energy: -0.468 Ry per atom.

POSCAR file:
```
Fe4AgPb
1.0
0.000 3.558 3.558
3.558 0.000 3.558
3.558 3.558 0.000
Ag Pb Fe
1 1 4
direct
0.000 0.000 0.000
0.250 0.250 0.250
0.626 0.626 0.626
0.626 0.123 0.626
0.123 0.626 0.626
0.626 0.626 0.123
```

Entry 7:
VASP calculation (GGA-PBE) on a relaxed structure of GePb2ClO4.

Results
As for the space-group type: C2/m (12). As for the electronic total energy: -0.388 Ry per atom. For the uncorrected formation energy, the calculation gives -1067.4 meV/atom.

POSCAR file:
```
GePb2ClO4
1.0
-3.040 0.917 0.846
-3.136 -4.183 -0.353
0.026 -2.033 8.675
O Ge Cl Pb
4 1 1 2
direct
0.147 0.904 0.802
0.853 0.096 0.198
0.607 0.745 0.041
0.393 0.255 0.959
0.000 0.000 0.000
0.500 0.500 0.500
0.822 0.578 0.779
0.178 0.422 0.221
```

Entry 8:
VASP calculation (GGA-PBE) on a relaxed structure of NdSm2Y2Ho.

Results
The calculation puts the formation energy at 0.256 eV/atom. As for the space-group type: Pnnm (58). As for the electronic total energy: -0.370 Ry per atom.

POSCAR file:
```
NdSm2Y2Ho
1.0
3.424 0.000 0.000
0.000 6.622 0.000
0.000 0.000 17.833
Nd Ho Y Sm
2 2 4 4
direct
0.500 0.500 0.500
0.000 0.000 0.000
0.000 0.000 0.500
0.500 0.500 0.000
0.500 0.272 0.683
0.000 0.772 0.817
0.000 0.228 0.183
0.500 0.728 0.317
0.000 0.724 0.148
0.500 0.776 0.648
0.500 0.224 0.352
0.000 0.276 0.852
```

Entry 9:
VASP calculation (GGA-PBE) on a relaxed structure of AlZnIr.

Results
The calculation puts the formation energy at -0.382 eV/atom. As for the space-group type: P3m1 (156). As for the electronic total energy: -0.368 Ry per atom.

POSCAR file:
```
AlZnIr
1.0
-1.142 -0.383 4.006
2.017 -3.128 -1.908
2.504 1.113 0.820
Al Zn Ir
1 1 1
direct
0.000 0.000 0.026
0.333 0.667 0.695
0.667 0.333 0.279
```

Entry 10:
VASP calculation (GGA-PBE) on a relaxed structure of Li2TiI6.

Results
For the excess energy over the best structure of this formula in the dataset, the calculation gives 8 meV per atom. As for the space-group type: C2/m (12). As for the electronic total energy: -0.234 Ry per atom. For the uncorrected formation energy, the calculation gives -852.1 meV/atom.

POSCAR file:
```
Li2TiI6
1.0
3.882 0.000 -0.889
-0.505 9.522 -2.203
0.012 -0.321 8.969
I Li Ti
6 2 1
direct
0.022 0.811 0.043
0.651 0.552 0.301
0.349 0.448 0.699
0.341 0.877 0.682
0.659 0.123 0.318
0.978 0.189 0.957
0.185 0.377 0.370
0.815 0.623 0.630
0.500 0.000 0.000
```

Entry 11:
VASP calculation (GGA-PBE) on a relaxed structure of K2HgBr.

Results
For the excess energy over the best structure of this formula in the dataset, the calculation gives 23 meV per atom. As for the space-group type: C2/m (12). As for the electronic total energy: -0.142 Ry per atom. For the uncorrected formation energy, the calculation gives -885.2 meV/atom.

POSCAR file:
```
K2HgBr
1.0
4.615 -0.007 0.008
2.385 3.951 0.008
2.198 1.239 8.959
K Br Hg
2 1 1
direct
0.490 0.490 0.527
0.010 0.010 0.973
0.750 0.750 0.750
0.250 0.250 0.250
```

Entry 12:
VASP calculation (GGA-PBE) on a relaxed structure of Cd7Ag5.

Results
The calculation puts the formation energy at -0.014 eV/atom. For the excess energy over the best structure of this formula in the dataset, the calculation gives 13 meV per atom. As for the space-group type: C2/m (12). As for the electronic total energy: -0.128 Ry per atom.

POSCAR file:
```
Cd7Ag5
1.0
3.041 0.000 0.000
-1.521 6.548 0.553
0.000 -1.981 12.394
Ag Cd
5 7
direct
0.373 0.745 0.140
0.627 0.255 0.860
0.171 0.342 0.441
0.000 0.000 0.000
0.829 0.658 0.559
0.319 0.638 0.908
0.500 0.000 0.500
0.812 0.623 0.321
0.042 0.084 0.251
0.681 0.362 0.092
0.958 0.916 0.749
0.188 0.377 0.679
```

Entry 13:
VASP calculation (GGA-PBE) on a relaxed structure of AcSm4Dy6.

Results
The calculation puts the formation energy at 0.132 eV/atom. As for the space-group type: Cmcm (63). As for the electronic total energy: -0.328 Ry per atom.

POSCAR file:
```
AcSm4Dy6
1.0
5.891 0.000 0.000
-2.945 4.857 0.000
0.000 0.000 25.889
Sm Dy Ac
8 12 2
direct
0.154 0.307 0.043
0.154 0.307 0.457
0.846 0.693 0.543
0.460 0.921 0.123
0.540 0.079 0.877
0.846 0.693 0.957
0.540 0.079 0.623
0.460 0.921 0.377
0.460 0.920 0.250
0.540 0.080 0.750
0.195 0.390 0.901
0.500 0.000 0.000
0.805 0.610 0.401
0.195 0.390 0.599
0.500 0.000 0.500
0.869 0.738 0.680
0.131 0.262 0.180
0.869 0.738 0.820
0.131 0.262 0.320
0.805 0.610 0.099
0.799 0.598 0.250
0.201 0.402 0.750
```

Entry 14:
VASP calculation (GGA-PBE) on a relaxed structure of CsRbRe2Hg.

Results
The calculation puts the formation energy at 2.709 eV/atom. As for the space-group type: P4/mmm (123). As for the electronic total energy: -0.198 Ry per atom.

POSCAR file:
```
CsRbRe2Hg
1.0
-2.408 4.250 4.129
-5.765 -0.189 -3.168
-1.927 -4.776 3.792
Rb Re Hg Cs
1 2 1 1
direct
0.500 0.500 0.500
0.500 0.000 0.000
0.000 0.000 0.500
0.000 0.500 0.000
0.000 0.000 0.000
```

Entry 15:
VASP calculation (GGA-PBE) on a relaxed structure of Zr3Zn2Os.

Results
The calculation puts the formation energy at -0.361 eV/atom. For the excess energy over the best structure of this formula in the dataset, the calculation gives 0 meV per atom. As for the space-group type: P4/mmm (123). As for the electronic total energy: -0.509 Ry per atom.

POSCAR file:
```
Zr3Zn2Os
1.0
-1.840 2.566 1.006
-0.370 -1.429 2.966
8.261 4.643 3.267
Zr Zn Os
3 2 1
direct
0.000 0.000 0.662
0.000 0.000 0.000
0.000 0.000 0.338
0.500 0.500 0.167
0.500 0.500 0.833
0.500 0.500 0.500
```

Entry 16:
VASP calculation (GGA-PBE) on a relaxed structure of CsLiNdTe2.

Results
As for the space-group type: Cmme (67). As for the electronic total energy: -0.276 Ry per atom. For the uncorrected formation energy, the calculation gives -987.4 meV/atom.

POSCAR file:
```
CsLiNdTe2
1.0
-2.167 5.096 4.444
-6.008 0.369 -3.352
-0.197 -5.991 6.773
Cs Nd Te Li
2 2 4 2
direct
0.240 0.750 0.500
0.760 0.250 0.500
0.500 0.250 0.000
0.500 0.750 0.000
0.747 0.883 0.767
0.253 0.117 0.233
0.253 0.383 0.767
0.747 0.617 0.233
0.000 0.000 0.000
0.000 0.500 0.000
```

Entry 17:
VASP calculation (GGA-PBE) on a relaxed structure of NiTePd.

Results
For the excess energy over the best structure of this formula in the dataset, the calculation gives 0 meV per atom. As for the space-group type: Pnma (62). As for the electronic total energy: -0.364 Ry per atom. For the uncorrected formation energy, the calculation gives -253.7 meV/atom.

POSCAR file:
```
NiTePd
1.0
-1.395 2.055 -2.905
-3.339 -5.016 -1.946
-6.481 2.438 4.836
Te Ni Pd
4 4 4
direct
0.250 0.238 0.343
0.750 0.762 0.657
0.750 0.738 0.157
0.250 0.262 0.843
0.250 0.011 0.605
0.750 0.989 0.395
0.250 0.489 0.105
0.750 0.511 0.895
0.750 0.153 0.086
0.250 0.847 0.914
0.250 0.653 0.414
0.750 0.347 0.586
```

Entry 18:
VASP calculation (GGA-PBE) on a relaxed structure of Ac4LaPm8.

Results
The calculation puts the formation energy at 0.116 eV/atom. As for the space-group type: P1 (1). As for the electronic total energy: -0.327 Ry per atom.

POSCAR file:
```
Ac4LaPm8
1.0
11.659 1.752 -3.280
-6.593 10.176 -1.905
-2.814 -3.039 5.503
Pm Ac La
8 4 1
direct
0.774 0.652 0.953
0.162 0.344 0.105
0.467 0.740 0.428
0.182 0.828 0.902
0.233 0.129 0.865
0.898 0.177 0.220
0.609 0.265 0.735
0.699 0.905 0.264
0.517 0.507 0.069
0.864 0.434 0.619
0.380 0.954 0.709
0.048 0.001 0.088
0.167 0.564 0.543
```